A plane-wave DFT calculation with PBE was carried out for Pm5Ir2Pt after structural relaxation.

a b c (Å): 7.7198 7.7198 8.8148
angles (deg): 115.97 115.97 90.00
Element x y z (fractional)
Ir  0.6312  0.1312  0.0000
Ir  0.1312  0.3688  0.0000
Ir  0.8688  0.6312  0.0000
Ir  0.3688  0.8688  0.0000
Pm  0.5298  0.6904  0.7202
Pm  0.3096  0.8096  0.2798
Pm  0.9702  0.4702  0.2798
Pm  0.0298  0.5298  0.7202
Pm  0.5000  0.5000  0.0000
Pm  0.8096  0.9702  0.2798
Pm  0.0000  0.0000  0.0000
Pm  0.1904  0.0298  0.7202
Pm  0.6904  0.1904  0.7202
Pm  0.4702  0.3096  0.2798
Pt  0.2500  0.2500  0.5000
Pt  0.7500  0.7500  0.5000

Results
Magnetic moment, μB/cell: 0.000
DFT formation energy, eV per atom: -0.723
Crystal system: tetragonal
Final energy, eV per atom: -6.662